! Sr2SiAu, relaxed, DFT PBE; values from VASP
&SYSTEM
  ibrav = 0, nat = 8, ntyp = 3
/
ATOMIC_SPECIES
Au 196.97 Au.upf
Si 28.09 Si.upf
Sr 87.62 Sr.upf
CELL_PARAMETERS angstrom
-6.1999 1.5071 -0.0206
-1.5022 -6.1717 0.6032
-3.6904 -1.5577 8.6166
ATOMIC_POSITIONS crystal
Au 0.7500 0.2500 0.5000
Au 0.0000 0.0000 0.0000
Si 0.2500 0.7500 0.5000
Si 0.5000 0.5000 0.0000
Sr 0.1356 0.6250 0.2500
Sr 0.3750 0.3856 0.7500
Sr 0.8750 0.8644 0.7500
Sr 0.6144 0.1250 0.2500
! energy relative to the elements, uncorrected: 0.039 eV/atom
! E_tot: -2.9770 eV per atom
! space-group type: I-42d
! ρ: 3.9 Mg/m³
! total magnetization: 0.250 μB per atom

***

! SrSi3Au3, relaxed, DFT PBE; values from VASP
&SYSTEM
  ibrav = 0, nat = 14, ntyp = 3
/
ATOMIC_SPECIES
Si 28.09 Si.upf
Sr 87.62 Sr.upf
Au 196.97 Au.upf
CELL_PARAMETERS angstrom
6.9158 0.0000 0.0000
0.0000 6.9158 0.0000
0.0000 0.0000 6.9158
ATOMIC_POSITIONS crystal
Si 0.7500 0.5000 0.0000
Si 0.5000 0.0000 0.7500
Si 0.0000 0.7500 0.5000
Si 0.0000 0.2500 0.5000
Si 0.5000 0.0000 0.2500
Si 0.2500 0.5000 0.0000
Sr 0.5000 0.5000 0.5000
Sr 0.0000 0.0000 0.0000
Au 0.5000 0.2500 0.0000
Au 0.0000 0.5000 0.7500
Au 0.2500 0.0000 0.5000
Au 0.5000 0.7500 0.0000
Au 0.0000 0.5000 0.2500
Au 0.7500 0.0000 0.5000
! energy relative to the elements, uncorrected: -0.179 eV/atom
! E_tot: -4.1479 eV per atom
! space-group type: Pm-3n
! ρ: 7.7 Mg/m³
! total magnetization: 0.000 μB per atom

***

! SrSiAu2, relaxed, DFT PBE; values from VASP
&SYSTEM
  ibrav = 0, nat = 4, ntyp = 3
/
ATOMIC_SPECIES
Au 196.97 Au.upf
Sr 87.62 Sr.upf
Si 28.09 Si.upf
CELL_PARAMETERS angstrom
4.4192 0.0037 0.0031
2.2133 3.8250 0.0031
2.1970 1.2683 5.5456
ATOMIC_POSITIONS crystal
Au 0.4594 0.4594 0.6213
Au 0.0406 0.0406 0.8787
Sr 0.2500 0.2500 0.2500
Si 0.7500 0.7500 0.7500
! energy relative to the elements, uncorrected: -0.454 eV/atom
! E_tot: -3.8689 eV per atom
! space-group type: C2/m
! ρ: 9.0 Mg/m³
! total magnetization: 0.000 μB per atom

***

! Sr2SiAu7, relaxed, DFT PBE; values from VASP
&SYSTEM
  ibrav = 0, nat = 10, ntyp = 3
/
ATOMIC_SPECIES
Au 196.97 Au.upf
Sr 87.62 Sr.upf
Si 28.09 Si.upf
CELL_PARAMETERS angstrom
4.1770 0.0000 0.0000
0.0000 4.1770 0.0000
0.0000 0.0000 12.9585
ATOMIC_POSITIONS crystal
Au 0.0000 0.5000 0.8605
Au 0.0000 0.5000 0.6506
Au 0.5000 0.0000 0.1395
Au 0.0000 0.0000 0.5000
Au 0.5000 0.0000 0.3494
Au 0.0000 0.0000 0.0000
Au 0.5000 0.5000 0.5000
Sr 0.5000 0.0000 0.7505
Sr 0.0000 0.5000 0.2495
Si 0.5000 0.5000 0.0000
! energy relative to the elements, uncorrected: -0.396 eV/atom
! E_tot: -3.5688 eV per atom
! space-group type: P-4m2
! ρ: 11.6 Mg/m³
! total magnetization: 0.000 μB per atom

***

! SrSiAu3, relaxed, DFT PBE; values from VASP
&SYSTEM
  ibrav = 0, nat = 5, ntyp = 3
/
ATOMIC_SPECIES
Sr 87.62 Sr.upf
Au 196.97 Au.upf
Si 28.09 Si.upf
CELL_PARAMETERS angstrom
-1.1242 1.9040 -5.1707
3.9898 -3.3585 -2.1041
-3.8004 -4.0891 -0.6795
ATOMIC_POSITIONS crystal
Sr 0.0000 0.0000 0.0000
Au 0.5000 0.0000 0.0000
Au 0.0000 0.0000 0.5000
Au 0.0000 0.5000 0.0000
Si 0.5000 0.5000 0.5000
! energy relative to the elements, uncorrected: 1.021 eV/atom
! E_tot: -2.3660 eV per atom
! space-group type: Pm-3m
! ρ: 6.6 Mg/m³
! total magnetization: 0.130 μB per atom

***

! SrSi2Au2, relaxed, DFT PBE; values from VASP
&SYSTEM
  ibrav = 0, nat = 5, ntyp = 3
/
ATOMIC_SPECIES
Si 28.09 Si.upf
Sr 87.62 Sr.upf
Au 196.97 Au.upf
CELL_PARAMETERS angstrom
4.4563 0.0000 0.0000
0.0000 4.4563 0.0000
2.2282 2.2282 5.3227
ATOMIC_POSITIONS crystal
Si 0.7500 0.2500 0.5000
Si 0.2500 0.7500 0.5000
Sr 0.0000 0.0000 0.0000
Au 0.6352 0.6352 0.7297
Au 0.3648 0.3648 0.2703
! energy relative to the elements, uncorrected: -0.403 eV/atom
! E_tot: -4.2193 eV per atom
! space-group type: I4/mmm
! ρ: 8.4 Mg/m³
! total magnetization: 0.000 μB per atom

***

! Sr3Si2Au, relaxed, DFT PBE; values from VASP
&SYSTEM
  ibrav = 0, nat = 24, ntyp = 3
/
ATOMIC_SPECIES
Sr 87.62 Sr.upf
Si 28.09 Si.upf
Au 196.97 Au.upf
CELL_PARAMETERS angstrom
-4.7696 2.1742 3.4041
4.4324 -4.6460 9.1778
7.6680 7.3912 0.0383
ATOMIC_POSITIONS crystal
Sr 0.3256 0.7319 0.6554
Sr 0.2485 0.8932 0.9714
Sr 0.8066 0.9674 0.6059
Sr 0.3066 0.5326 0.1059
Sr 0.2515 0.3932 0.5286
Sr 0.7515 0.1068 0.0286
Sr 0.1934 0.0326 0.3941
Sr 0.7485 0.6068 0.4714
Sr 0.6744 0.2681 0.3446
Sr 0.1744 0.2319 0.8446
Sr 0.6934 0.4674 0.8941
Sr 0.8256 0.7681 0.1554
Si 0.6003 0.9899 0.2738
Si 0.1003 0.5101 0.7738
Si 0.6991 0.8705 0.8656
Si 0.3009 0.1295 0.1344
Si 0.8997 0.4899 0.2262
Si 0.3997 0.0101 0.7262
Si 0.8009 0.3705 0.6344
Si 0.1991 0.6295 0.3656
Au 0.3926 0.7963 0.2851
Au 0.1074 0.2963 0.2149
Au 0.8926 0.7037 0.7851
Au 0.6074 0.2037 0.7149
! energy relative to the elements, uncorrected: -0.491 eV/atom
! E_tot: -3.6855 eV per atom
! space-group type: P2_1/c
! ρ: 4.8 Mg/m³
! total magnetization: 0.000 μB per atom

***

! SrSiAu4, relaxed, DFT PBE; values from VASP
&SYSTEM
  ibrav = 0, nat = 6, ntyp = 3
/
ATOMIC_SPECIES
Au 196.97 Au.upf
Sr 87.62 Sr.upf
Si 28.09 Si.upf
CELL_PARAMETERS angstrom
5.4108 -1.4174 0.8046
1.7626 -5.2286 -1.2198
3.3815 -0.8775 -4.4417
ATOMIC_POSITIONS crystal
Au 0.8741 0.3753 0.3753
Au 0.3753 0.3753 0.3753
Au 0.3753 0.3753 0.8741
Au 0.3753 0.8741 0.3753
Sr 0.0000 0.0000 0.0000
Si 0.7500 0.7500 0.7500
! energy relative to the elements, uncorrected: -0.176 eV/atom
! E_tot: -3.5450 eV per atom
! space-group type: F-43m
! ρ: 11.8 Mg/m³
! total magnetization: 0.000 μB per atom

***

Look up the ρ of the seventh one.
4.8 Mg/m³

***

What is the formula in the fourth record?
Sr2SiAu7